Entry 1:
An optimized crystal structure of K2TaAu. Source: Alexandria via LeMat-Bulk, functional PBEsol.

Cell and atoms, written as POSCAR:
```
K2TaAu
1.0
-2.009 0.399 1.937
2.245 -3.987 2.828
3.393 5.773 0.439
Au K Ta
1 2 1
direct
0.000 0.500 0.000
0.000 0.000 0.500
0.500 0.500 0.500
0.500 0.000 0.000
```

The calculation puts the formation energy at 0.909 eV/atom. The symmetry is C2/m. The magnetization comes out at 0.00 μB per formula unit. The calculation puts the excess energy over the best structure of this formula in the dataset at 0 meV per atom.

---

Entry 2:
An optimized crystal structure of KTa2Au. Source: Alexandria via LeMat-Bulk, functional PBEsol.

Cell and atoms, written as POSCAR:
```
KTa2Au
1.0
3.268 0.000 0.000
0.000 3.268 0.000
0.000 0.000 8.808
Au K Ta
1 1 2
direct
0.000 0.000 0.439
0.500 0.500 0.722
0.000 0.000 0.087
0.500 0.500 0.252
```

The calculation puts the formation energy at 0.491 eV/atom. The symmetry is P4mm. The magnetization comes out at 0.00 μB per formula unit. The calculation puts the excess energy over the best structure of this formula in the dataset at 0 meV per atom.

---

Entry 3:
An optimized crystal structure of K2TaAu. Source: Alexandria via LeMat-Bulk, functional PBEsol.

Cell and atoms, written as POSCAR:
```
K2TaAu
1.0
2.816 0.024 0.000
-0.276 5.376 0.000
0.000 0.000 6.032
Au K Ta
1 2 1
direct
0.500 0.000 0.500
0.256 0.240 0.000
0.744 0.760 0.000
0.000 0.500 0.500
```

The calculation puts the formation energy at 0.913 eV/atom. The symmetry is P2/m. The magnetization comes out at 0.00 μB per formula unit. The calculation puts the excess energy over the best structure of this formula in the dataset at 3 meV per atom.

---

Entry 4:
An optimized crystal structure of KTaAu2. Source: Alexandria via LeMat-Bulk, functional PBEsol.

Cell and atoms, written as POSCAR:
```
KTaAu2
1.0
4.661 0.000 0.000
2.331 4.275 -0.029
2.331 1.288 4.077
Au K Ta
2 1 1
direct
0.227 0.773 0.773
0.773 0.227 0.227
0.000 0.500 0.500
0.500 0.000 0.000
```

The calculation puts the formation energy at 0.703 eV/atom. The symmetry is Immm. The magnetization comes out at 0.00 μB per formula unit. The calculation puts the excess energy over the best structure of this formula in the dataset at 633 meV per atom.

---

Entry 5:
An optimized crystal structure of KTcAu4. Source: Alexandria via LeMat-Bulk, functional PBEsol.

Cell and atoms, written as POSCAR:
```
KTcAu4
1.0
5.499 0.000 0.000
2.749 4.762 0.000
2.749 1.587 4.490
Au K Tc
4 1 1
direct
0.876 0.375 0.375
0.375 0.375 0.375
0.375 0.375 0.876
0.375 0.876 0.375
0.750 0.750 0.750
0.000 0.000 0.000
```

The calculation puts the formation energy at 0.498 eV/atom. The symmetry is F-43m. The magnetization comes out at 3.82 μB per formula unit.

---

Entry 6:
An optimized crystal structure of K2TeAu. Source: Alexandria via LeMat-Bulk, functional PBEsol.

Cell and atoms, written as POSCAR:
```
K2TeAu
1.0
5.993 0.000 0.000
2.997 6.460 0.000
2.997 0.000 6.460
K Te Au
4 2 2
direct
0.875 0.029 0.471
0.375 0.971 0.529
0.654 0.471 0.971
0.096 0.529 0.029
0.500 0.000 0.000
0.250 0.500 0.500
0.000 0.000 0.000
0.750 0.500 0.500
```

The symmetry is I-42d. The magnetization comes out at 0.00 μB per formula unit. The uncorrected formation energy comes out at -0.42 eV/atom.

---

Entry 7:
An optimized crystal structure of K2TeAu. Source: Alexandria via LeMat-Bulk, functional PBEsol.

Cell and atoms, written as POSCAR:
```
K2TeAu
1.0
5.456 0.000 0.000
2.728 4.725 0.000
2.728 1.575 4.455
Au K Te
1 2 1
direct
0.500 0.500 0.500
0.000 0.000 0.000
0.750 0.750 0.750
0.250 0.250 0.250
```

The symmetry is F-43m. The magnetization comes out at 0.00 μB per formula unit. The uncorrected formation energy comes out at -0.35 eV/atom.

---

Entry 8:
An optimized crystal structure of KTeAu. Source: Alexandria via LeMat-Bulk, functional PBEsol.

Cell and atoms, written as POSCAR:
```
KTeAu
1.0
-0.016 -0.160 -3.285
0.906 -2.620 1.770
-7.742 -2.568 0.164
Au K Te
1 1 1
direct
0.000 0.000 0.996
0.667 0.333 0.681
0.333 0.667 0.324
```

The symmetry is P3m1. The magnetization comes out at 0.00 μB per formula unit. The uncorrected formation energy comes out at 0.15 eV/atom.

---

Entry 9:
An optimized crystal structure of KTeAu3. Source: Alexandria via LeMat-Bulk, functional PBEsol.

Cell and atoms, written as POSCAR:
```
KTeAu3
1.0
-1.025 4.742 -1.918
-0.279 -2.005 -4.808
-5.107 -0.843 0.647
K Te Au
1 1 3
direct
0.000 0.000 0.000
0.500 0.500 0.500
0.000 0.500 0.000
0.000 0.000 0.500
0.500 0.000 0.000
```

The symmetry is Pm-3m. The magnetization comes out at 0.00 μB per formula unit. The uncorrected formation energy comes out at 1.36 eV/atom.

---

Entry 10:
An optimized crystal structure of KTeAu. Source: Alexandria via LeMat-Bulk, functional PBEsol.

Cell and atoms, written as POSCAR:
```
KTeAu
1.0
-1.414 4.239 1.286
1.446 -3.041 3.207
4.603 1.681 -0.481
K Te Au
1 1 1
direct
0.333 0.667 0.000
0.667 0.333 0.500
0.000 0.000 0.500
```

The symmetry is P-6m2. The magnetization comes out at 0.00 μB per formula unit. The uncorrected formation energy comes out at -0.62 eV/atom.

---

Entry 11:
An optimized crystal structure of KTeAu. Source: Alexandria via LeMat-Bulk, functional PBEsol.

Cell and atoms, written as POSCAR:
```
KTeAu
1.0
4.657 0.000 0.000
-2.329 4.033 0.000
0.000 0.000 9.727
K Te Au
2 2 2
direct
0.000 0.000 0.000
0.000 0.000 0.500
0.333 0.667 0.750
0.667 0.333 0.250
0.667 0.333 0.750
0.333 0.667 0.250
```

The symmetry is P6_3/mmc. The magnetization comes out at 0.00 μB per formula unit. The uncorrected formation energy comes out at -0.63 eV/atom.

---

Entry 12:
An optimized crystal structure of K2TeAu. Source: Alexandria via LeMat-Bulk, functional PBEsol.

Cell and atoms, written as POSCAR:
```
K2TeAu
1.0
-2.255 2.931 -2.639
-3.571 0.729 3.862
5.811 2.137 1.318
Au K Te
1 2 1
direct
0.200 0.700 0.401
0.976 0.976 0.952
0.772 0.272 0.544
0.552 0.552 0.104
```

The symmetry is Imm2. The magnetization comes out at 0.00 μB per formula unit. The uncorrected formation energy comes out at -0.45 eV/atom.

---

How do the records compare in final energy? In the order shown, they have -15.1 -28.2 -15.1 -18.7 -25.1 -11.4 -11.1 -8.1 -9.6 -10.4 -10.5 -11.5 eV/f.u..